Entry 1:
This record from Alexandria via LeMat-Bulk describes a relaxed Li3Tb2PuSe6 crystal. The functional is PBE-GGA.

POSCAR file:
```
Li3Tb2PuSe6
1.0
3.559 -6.163 0.000
3.559 6.163 0.000
-2.370 0.000 6.477
Li Tb Pu Se
3 2 1 6
Cartesian
0.000 0.000 0.000
3.559 2.059 0.000
3.559 -2.059 0.000
2.374 4.109 3.239
2.374 -4.109 3.239
2.374 0.000 3.239
1.177 2.071 1.588
-0.018 0.000 4.889
1.177 -2.071 1.588
3.570 2.071 4.889
4.766 0.000 1.588
3.570 -2.071 4.889
```

Values from the calculation:
Spin magnetization   5.0 μB per cell
Energy   -5.77 eV per atom
Fermi-level density of states   1.066 states/eV per atom



Entry 2:
This record from Alexandria via LeMat-Bulk describes a relaxed LiTb2PuSe5 crystal. The functional is PBE-GGA.

POSCAR file:
```
LiTb2PuSe5
1.0
2.042 -8.519 0.000
2.042 8.519 0.000
0.000 0.000 12.366
Li Tb Pu Se
2 4 2 10
Cartesian
2.042 8.221 6.183
2.042 -8.221 0.000
2.042 2.123 3.914
2.042 1.850 8.719
2.042 -1.850 2.536
2.042 -2.123 10.097
2.042 3.366 0.281
2.042 -3.366 6.464
2.042 -8.519 3.756
2.042 8.519 9.939
2.042 6.235 0.255
2.042 5.268 4.441
2.042 4.899 8.478
2.042 0.773 1.209
2.042 -0.773 7.392
2.042 -4.899 2.295
2.042 -5.268 10.624
2.042 -6.235 6.438
```

Values from the calculation:
Spin magnetization   10.0 μB per cell
Energy   -6.33 eV per atom
Fermi-level density of states   1.427 states/eV per atom